A relaxed ErScCdPd crystal, computed with PBE.

Calculated values
energy above the most stable polymorph in this dataset: 0.0 meV per atom
magnetization: 0.0 μB/f.u.
ΔE_f: -0.599 eV/atom
energy: -19.399 eV/cell
space-group type: P4mm, No. 99
crystal system: tetragonal

Lattice parameters (Å, degrees): 3.4395 3.4395 7.3380 90.00 90.00 90.00
Last column: nearest neighbours and their distance in Å.
Element x y z (fractional)
Er (0.5000, 0.5000, 0.1332)  4 Pd 3.02, 4 Cd 3.26, 1 Sc 3.27
Pd (0.0000, 0.0000, 0.3778)  4 Sc 2.85, 4 Er 3.02
Sc (0.5000, 0.5000, 0.5791)  4 Pd 2.85, 4 Cd 3.09
Cd (0.0000, 0.0000, 0.8379)  4 Sc 3.09, 4 Er 3.26, 1 Pd 3.38, 4 Cd 3.44